one | VASP calculation (GGA-PBE) on a relaxed structure of KPb3Au.

```
5
Lattice="-5.223 -0.779 -2.188 -2.159 -0.359 5.281 -0.857 5.651 0.034" Properties=species:S:1:pos:R:3 pbc="T T T"
K -4.119 2.257 1.563
Pb -1.079 -0.180 2.640
Pb -0.428 2.826 0.017
Pb -2.611 -0.389 -1.094
Au 0.000 0.000 0.000
```

Properties
* magnetization: 0.0 Bohr magnetons per cell



two | VASP calculation (GGA-PBE) on a relaxed structure of KPb3Au.

```
10
Lattice="4.528 0.000 0.000 0.000 8.121 -2.806 0.000 0.246 8.588" Properties=species:S:1:pos:R:3 pbc="T T T"
Pb 0.000 4.183 2.891
Pb 0.000 0.698 2.566
Pb 0.000 2.647 -0.254
Pb 0.000 7.668 3.216
Pb 0.000 5.719 6.036
Pb 2.264 0.000 0.000
Au 2.264 5.862 4.051
Au 2.264 2.504 1.730
K 2.264 5.872 0.448
K 2.264 2.495 5.334
```

Properties
* magnetization: 0.0 Bohr magnetons per cell



three | VASP calculation (GGA-PBE) on a relaxed structure of KPb3Au.

```
5
Lattice="-5.308 -1.845 -1.972 -0.363 -3.822 4.553 -2.676 4.179 3.294" Properties=species:S:1:pos:R:3 pbc="T T T"
Pb -2.654 -0.922 -0.986
Pb -1.338 2.089 1.647
Pb -0.182 -1.911 2.277
Au -4.174 -0.744 2.937
K 0.000 0.000 0.000
```

Properties
* magnetization: 0.0 Bohr magnetons per cell



Stability summary - winner: two; margin: 247 meV/atom.



one | VASP calculation (GGA-PBE) on a relaxed structure of K2Pb2Au.

```
10
Lattice="10.519 0.000 0.000 0.000 10.519 0.000 0.000 0.000 3.421" Properties=species:S:1:pos:R:3 pbc="T T T"
K 3.139 8.398 0.000
K 2.121 3.139 0.000
K 7.381 2.121 0.000
K 8.398 7.381 0.000
Pb 6.286 9.493 1.710
Pb 1.026 6.286 1.710
Pb 9.493 4.233 1.710
Pb 4.233 1.026 1.710
Au 0.000 0.000 0.000
Au 5.260 5.260 0.000
```

Properties
* magnetization: 0.0 Bohr magnetons per cell



two | VASP calculation (GGA-PBE) on a relaxed structure of K2Pb2Au.

```
5
Lattice="4.514 0.000 0.000 0.000 4.514 0.000 2.257 2.257 8.222" Properties=species:S:1:pos:R:3 pbc="T T T"
Au 0.000 0.000 0.000
K 4.514 2.257 4.111
K 2.257 4.514 4.111
Pb 2.257 2.257 1.409
Pb 4.514 4.514 6.812
```

Properties
* magnetization: 0.0 Bohr magnetons per cell



Stability summary - winner: one; margin: 163 meV/atom.



one | VASP calculation (GGA-PBE) on a relaxed structure of K2Pb2Au.

```
10
Lattice="4.852 0.000 0.000 2.426 6.352 -0.419 2.426 -0.443 11.758" Properties=species:S:1:pos:R:3 pbc="T T T"
Pb 7.278 5.152 4.822
Pb 7.278 4.965 10.150
Pb 2.426 0.758 6.518
Pb 2.426 0.945 1.189
Au 4.852 -0.213 8.013
Au 4.852 6.123 3.326
K 4.852 3.562 7.642
K 4.852 2.348 3.698
K 2.426 4.596 1.104
K 7.278 1.314 10.236
```

Properties
* magnetization: 0.0 Bohr magnetons per cell



two | VASP calculation (GGA-PBE) on a relaxed structure of K2Pb2Au.

```
5
Lattice="-3.436 -2.656 -0.780 0.415 -1.724 4.040 -7.737 4.801 5.253" Properties=species:S:1:pos:R:3 pbc="T T T"
Pb -4.416 0.444 5.462
Pb -6.342 -0.022 3.051
Au 0.000 0.000 0.000
K -2.655 -0.905 2.296
K -8.102 1.326 6.217
```

Properties
* magnetization: 0.0 Bohr magnetons per cell



Stability summary - winner: one; margin: 102 meV/atom.



one | VASP calculation (GGA-PBE) on a relaxed structure of KPb2Au2.

```
10
Lattice="4.935 0.000 0.000 0.000 5.333 0.062 0.000 -1.175 11.182" Properties=species:S:1:pos:R:3 pbc="T T T"
Au 3.701 3.472 0.091
Au 1.234 0.685 11.153
Au 3.701 0.744 4.108
Au 1.234 3.413 7.136
Pb 1.234 0.766 5.697
Pb 3.701 3.392 5.548
Pb 3.701 0.768 1.190
Pb 1.234 3.389 10.055
K 1.234 3.570 2.812
K 3.701 0.587 8.433
```

Properties
* magnetization: 0.0 Bohr magnetons per cell



two | VASP calculation (GGA-PBE) on a relaxed structure of KPb2Au2.

```
5
Lattice="-3.779 1.528 -3.414 -3.738 -1.717 3.370 -3.897 4.850 2.343" Properties=species:S:1:pos:R:3 pbc="T T T"
Pb -3.800 1.365 0.676
Pb -7.615 3.297 1.623
Au -5.697 1.519 2.845
Au -5.717 3.142 -0.547
K 0.000 0.000 0.000
```

Properties
* magnetization: 0.0 Bohr magnetons per cell



Stability summary - winner: one; margin: 44 meV/atom.



one | VASP calculation (GGA-PBE) on a relaxed structure of KPb2Au2.

```
5
Lattice="4.984 0.000 0.000 0.000 4.984 0.000 2.492 2.492 5.956" Properties=species:S:1:pos:R:3 pbc="T T T"
Au 4.984 4.984 4.572
Au 2.492 2.492 1.384
K 0.000 0.000 0.000
Pb 2.492 4.984 2.978
Pb 4.984 2.492 2.978
```

Properties
* magnetization: 0.0 Bohr magnetons per cell



two | VASP calculation (GGA-PBE) on a relaxed structure of KPb2Au2.

```
10
Lattice="-0.106 5.430 7.226 -8.519 2.354 -1.894 -1.108 -2.507 1.867" Properties=species:S:1:pos:R:3 pbc="T T T"
K 0.000 0.000 0.000
K -4.313 3.892 2.666
Au -7.804 4.299 4.086
Au -1.929 0.978 3.113
Au -3.564 4.130 6.375
Au -6.169 1.147 0.825
Pb -1.236 3.782 4.344
Pb -3.106 1.599 0.303
Pb -5.519 6.185 5.028
Pb -7.390 4.002 0.988
```

Properties
* magnetization: 0.0 Bohr magnetons per cell



Stability summary - winner: one; margin: 61 meV/atom.



one | VASP calculation (GGA-PBE) on a relaxed structure of K2PbAu2.

```
10
Lattice="-3.645 -0.290 -8.712 -0.060 -9.442 0.339 -3.120 0.066 1.303" Properties=species:S:1:pos:R:3 pbc="T T T"
Au -4.048 -8.007 -4.895
Au -2.777 -1.658 -2.175
Au -4.609 -3.333 -6.476
Au -2.216 -6.333 -0.594
K -1.397 -8.312 -2.920
K -0.500 -3.522 -1.017
K -3.205 -6.211 -7.356
K -2.308 -1.421 -5.454
Pb -1.852 -4.866 -4.187
Pb 0.000 0.000 0.000
```

Properties
* magnetization: 0.0 Bohr magnetons per cell



two | VASP calculation (GGA-PBE) on a relaxed structure of K2PbAu2.

```
5
Lattice="4.655 0.000 0.000 0.000 4.655 0.000 2.328 2.328 7.216" Properties=species:S:1:pos:R:3 pbc="T T T"
K 4.655 2.328 3.608
K 2.328 4.655 3.608
Au 4.655 4.655 5.863
Au 2.328 2.328 1.353
Pb 0.000 0.000 0.000
```

Properties
* magnetization: 0.0 Bohr magnetons per cell



three | VASP calculation (GGA-PBE) on a relaxed structure of K2PbAu2.

```
10
Lattice="-5.700 3.563 3.837 -5.210 -4.424 -3.633 0.346 -3.490 3.754" Properties=species:S:1:pos:R:3 pbc="T T T"
K -6.268 -0.247 3.863
K -2.594 -1.328 2.519
K -7.971 -3.022 1.439
K -4.297 -4.104 0.095
Au -8.241 0.305 1.042
Au -2.669 -1.166 -0.838
Au -4.279 1.669 1.945
Au -6.632 -2.530 -1.741
Pb 0.000 0.000 0.000
Pb -5.455 -0.430 0.102
```

Properties
* magnetization: 0.0 Bohr magnetons per cell



Stability summary - winner: three; margin: 229 meV/atom.



one | VASP calculation (GGA-PBE) on a relaxed structure of K2PbAu2.

```
10
Lattice="6.751 0.000 0.000 -3.375 5.719 0.334 0.000 -2.087 8.149" Properties=species:S:1:pos:R:3 pbc="T T T"
Au 2.368 3.044 4.354
Au -2.368 4.088 0.280
Au 1.007 0.587 4.129
Au 5.744 -0.457 8.203
K 0.871 2.235 7.243
K 2.504 1.396 1.240
K -0.871 3.279 3.168
K 4.246 0.353 5.315
Pb 6.074 -0.522 2.037
Pb 0.677 -1.565 6.112
```

Properties
* magnetization: 0.0 Bohr magnetons per cell



two | VASP calculation (GGA-PBE) on a relaxed structure of K2PbAu2.

```
5
Lattice="2.906 -3.925 4.573 -1.223 2.796 5.954 -3.209 -2.665 -5.231" Properties=species:S:1:pos:R:3 pbc="T T T"
K 1.338 -0.898 8.368
K 0.345 -0.231 2.158
Au 0.755 -2.457 5.074
Au -2.280 -1.337 0.221
Pb -0.151 -3.295 -0.329
```

Properties
* magnetization: 0.0 Bohr magnetons per cell



Stability summary - winner: one; margin: 43 meV/atom.



one | VASP calculation (GGA-PBE) on a relaxed structure of KPb3Au2.

```
18
Lattice="4.799 0.000 0.000 -2.400 9.244 -2.880 0.000 0.266 11.999" Properties=species:S:1:pos:R:3 pbc="T T T"
Pb 0.000 4.004 3.357
Pb 2.400 2.217 1.696
Pb 0.000 7.293 7.424
Pb 2.400 0.133 6.000
Pb 2.400 8.794 5.278
Pb 0.000 5.950 -1.473
Pb 0.000 0.716 3.841
Pb 2.400 5.507 5.763
Pb 2.400 3.560 10.593
Au 0.000 6.732 4.429
Au 2.400 5.843 8.752
Au 0.000 3.667 0.368
Au 2.400 0.976 9.330
Au 0.000 8.534 -0.210
Au 2.400 2.779 4.691
K 0.000 3.153 7.506
K 2.400 6.357 1.613
K 0.000 0.000 0.000
```

Properties
* magnetization: 0.0 Bohr magnetons per cell



two | VASP calculation (GGA-PBE) on a relaxed structure of KPb3Au2.

```
12
Lattice="-1.851 -2.169 -5.033 2.961 -7.694 2.227 -8.040 1.955 2.114" Properties=species:S:1:pos:R:3 pbc="T T T"
Pb -1.869 -2.170 -3.364
Pb -5.040 -1.570 -2.457
Pb -5.060 -5.738 2.671
Pb -0.871 -5.226 -2.414
Pb -6.058 -2.682 1.721
Pb -1.889 -6.338 1.764
Au 0.080 -7.063 -0.310
Au -6.084 0.239 2.134
Au -7.009 -0.845 -0.383
Au 1.005 -5.978 2.207
K -2.173 -2.476 0.204
K -4.756 -5.433 -0.896
```

Properties
* magnetization: 0.0 Bohr magnetons per cell



Stability summary - winner: one; margin: 56 meV/atom.